Below is a relaxed structure of KCoPbF6, with properties calculated at the PBE+U level.

Unit cell a=5.588 b=5.588 c=4.873 alpha=90.00 beta=90.00 gamma=120.00
Element x y z (fractional)
K: 0.000 0.000 0.000
Co: 0.667 0.333 0.666
Pb: 0.333 0.667 0.504
F: 0.347 0.182 0.455
F: 0.497 0.006 0.875
F: 0.509 0.503 0.875
F: 0.818 0.166 0.455
F: 0.834 0.653 0.455
F: 0.994 0.491 0.875

Results
Final energy ... -4.6205 eV/atom
Spin magnetization ... 0.00 μB/cell
DOS at the Fermi energy ... 0.00 states/eV per atom